# Cs12K3Pd5

A relaxed structure of Cs12K3Pd5 (PBE, the Alexandria database).

The structure in POSCAR format:
```
Cs12K3Pd5
1.0
-11.424 -14.497 -7.183
17.271 -7.583 6.040
-9.134 8.633 15.307
Cs K Pd
48 12 20
Cartesian
6.297 -18.667 -0.389
6.164 -2.276 11.106
-3.397 -7.827 -0.998
-12.187 -6.333 9.999
-8.475 -1.546 6.754
-1.146 -7.821 10.395
-0.473 3.967 14.913
1.354 -4.875 6.942
2.880 -2.783 18.498
-6.167 -10.664 -4.333
4.198 -10.308 12.240
-2.140 -5.627 3.770
8.901 -7.114 4.166
0.110 -5.620 15.162
-8.407 -9.760 10.904
-9.450 -11.171 3.058
6.715 -7.195 8.951
5.214 -6.397 15.609
5.245 -11.607 2.019
-7.324 -14.835 0.074
-3.024 -3.832 8.550
-2.813 -17.415 -0.748
-14.197 -8.788 3.167
-0.263 -9.615 5.615
10.911 -4.659 10.998
-4.841 -5.302 13.263
-2.467 1.517 8.074
-3.938 -0.643 12.700
-6.838 2.562 9.699
-7.485 -3.139 1.924
-10.002 -6.252 5.214
1.077 -1.332 10.822
0.486 -1.090 3.316
-4.641 -8.572 7.222
0.652 -12.804 1.465
-8.531 -1.840 12.145
-0.820 -14.965 6.090
13.757 -7.469 6.290
4.038 1.387 14.091
1.555 -8.145 0.902
5.188 -11.901 7.410
-17.044 -5.978 7.874
-9.583 5.219 14.553
3.551 -16.009 4.465
-3.773 -12.357 10.848
5.121 -3.687 3.261
-4.363 -12.115 3.343
-8.500 -7.051 -1.445
-0.054 -0.810 15.373
0.836 -12.112 9.465
-3.233 -12.637 -1.209
-5.102 3.846 14.006
6.834 -1.973 15.867
-4.122 -1.335 4.700
4.227 -8.017 4.908
-7.514 -5.430 9.256
1.816 -17.293 0.158
-10.120 -11.475 -1.703
-6.247 -7.719 2.761
2.961 -5.728 11.403
8.635 -3.791 3.020
2.765 -2.497 5.194
-11.387 -9.185 4.792
-1.643 -6.724 7.082
-6.052 -10.950 8.971
0.000 0.000 0.000
-14.401 -4.267 8.762
2.924 -11.040 -0.571
-4.567 4.316 7.654
5.689 -13.537 4.622
-10.279 -2.932 4.062
-1.108 -6.253 0.730
-1.199 -12.375 4.128
-8.975 0.090 9.542
4.069 0.525 10.674
-5.712 -7.249 -3.591
-2.179 -7.194 13.435
8.100 -4.262 9.372
-2.088 -1.072 10.036
11.114 -9.180 5.403
```

Summary:
* total energy: -0.1330 Ry per atom
* V: 74.757 Å³ per atom
* calculated formation energy: 0.1655 eV per atom



# CsKPd4

A relaxed structure of CsKPd4 (PBE, the Alexandria database).

The structure in POSCAR format:
```
CsKPd4
1.0
-5.185 -1.813 -1.610
-0.832 -1.930 -5.325
-0.928 -5.574 -0.912
K Pd Cs
1 4 1
Cartesian
0.000 0.000 0.000
-4.344 -5.827 -4.908
-3.927 -4.859 -2.235
-1.742 -4.917 -4.100
-3.878 -3.029 -4.450
-1.736 -2.329 -1.962
```

Summary:
* total energy: -0.2723 Ry per atom
* V: 22.104 Å³ per atom
* calculated formation energy: 0.0822 eV per atom



# Cs6K3Pd

A relaxed structure of Cs6K3Pd (PBE, the Alexandria database).

The structure in POSCAR format:
```
Cs6K3Pd
1.0
-2.561 -9.765 -6.722
7.962 -8.122 4.213
-6.845 -6.550 7.572
K Pd Cs
6 2 12
Cartesian
-1.019 -6.482 -1.457
-0.426 -17.955 6.520
-2.390 -5.453 3.120
-3.795 -18.481 3.019
0.946 -18.985 1.943
2.351 -5.956 2.044
0.000 0.000 0.000
-0.722 -12.219 2.532
3.487 -15.453 -1.033
0.568 -13.263 8.706
-4.931 -8.984 6.096
-2.012 -11.174 -3.643
-6.602 -14.383 1.256
1.434 -10.698 0.229
-3.303 -10.195 1.303
-1.507 -14.768 0.263
5.158 -10.055 3.807
-2.878 -13.740 4.835
0.063 -9.669 4.801
1.858 -14.242 3.760
```

Summary:
* total energy: -0.0986 Ry per atom
* V: 84.075 Å³ per atom
* calculated formation energy: 0.0195 eV per atom



# Cs14KPd

A relaxed structure of Cs14KPd (PBE, the Alexandria database).

The structure in POSCAR format:
```
Cs14KPd
1.0
10.706 0.079 0.000
-2.746 10.348 0.000
0.000 0.000 14.822
Cs Pd K
14 1 1
Cartesian
-0.152 2.949 12.350
2.184 6.585 7.411
-0.305 8.485 3.192
5.330 4.183 3.878
-0.305 8.485 11.630
8.455 1.798 7.411
4.520 1.592 0.000
-0.152 2.949 2.472
2.943 1.234 7.411
7.616 5.647 0.000
5.075 9.796 2.472
5.075 9.796 12.350
5.330 4.183 10.944
7.545 7.263 7.411
7.909 2.214 0.000
2.611 6.258 0.000
```

Summary:
* total energy: -0.0806 Ry per atom
* V: 102.827 Å³ per atom
* calculated formation energy: 0.0433 eV per atom



# Cs4K2Rb2Pd

A relaxed structure of Cs4K2Rb2Pd (PBE, the Alexandria database).

The structure in POSCAR format:
```
Cs4K2Rb2Pd
1.0
-7.303 0.900 -4.945
-5.147 -5.444 6.215
-4.595 4.621 7.232
Cs Rb Pd K
4 2 1 2
Cartesian
-6.078 2.623 3.755
-10.967 -2.546 4.747
-6.367 -2.645 3.223
-10.678 2.722 5.279
-7.211 -0.400 7.876
-9.834 0.477 0.626
-3.652 0.450 -2.473
-2.531 0.080 0.581
-14.514 -0.003 7.921
```

Summary:
* total energy: -0.1021 Ry per atom
* V: 82.935 Å³ per atom
* calculated formation energy: 0.0258 eV per atom



# CsK2Rb8Pd

A relaxed structure of CsK2Rb8Pd (PBE, the Alexandria database).

The structure in POSCAR format:
```
CsK2Rb8Pd
1.0
-9.210 0.795 -5.676
2.878 -4.398 -6.904
-4.638 -11.077 -1.918
Rb K Pd Cs
8 2 1 1
Cartesian
-3.805 -7.789 -9.005
-7.164 -6.891 -5.492
-8.588 -14.009 -12.230
-7.962 -5.439 -10.282
-3.007 -9.240 -4.215
-3.619 -12.863 -7.808
-7.351 -1.816 -6.689
-2.382 -0.670 -2.267
-3.176 -4.210 -5.707
-7.793 -10.470 -8.790
0.000 0.000 0.000
-2.319 -5.538 -0.959
```

Summary:
* total energy: -0.0954 Ry per atom
* V: 79.430 Å³ per atom
* calculated formation energy: 0.0342 eV per atom



# CsK5Rb2Pd

A relaxed structure of CsK5Rb2Pd (PBE, the Alexandria database).

The structure in POSCAR format:
```
CsK5Rb2Pd
1.0
-0.355 8.339 4.701
-8.108 -4.911 -1.384
4.170 -7.534 4.197
K Cs Rb Pd
5 1 2 1
Cartesian
-0.961 -3.037 0.687
-3.202 -5.115 4.640
1.274 -6.928 2.885
-1.099 0.985 2.881
-5.219 -5.541 -0.066
-2.951 -9.326 2.109
-5.223 -1.420 2.367
0.916 -2.732 5.158
-3.934 -12.433 2.811
```

Summary:
* total energy: -0.1074 Ry per atom
* V: 70.019 Å³ per atom
* calculated formation energy: 0.0349 eV per atom



# Cs2K6RbPd

A relaxed structure of Cs2K6RbPd (PBE, the Alexandria database).

The structure in POSCAR format:
```
Cs2K6RbPd
1.0
-8.749 5.308 1.839
-3.335 -2.129 -9.613
2.906 -7.707 6.375
K Rb Cs Pd
6 1 2 1
Cartesian
-4.504 -0.542 -7.155
-7.593 3.702 -0.623
-7.810 -1.886 -2.472
-2.606 0.660 -1.665
-1.359 -2.613 1.049
-6.583 -5.207 0.264
-3.122 -6.092 2.473
-3.238 -4.148 -3.576
-5.959 -0.409 2.179
-9.171 -4.513 -1.411
```

Summary:
* total energy: -0.1014 Ry per atom
* V: 79.013 Å³ per atom
* calculated formation energy: 0.0654 eV per atom



# Cs5K2RbPd

A relaxed structure of Cs5K2RbPd (PBE, the Alexandria database).

The structure in POSCAR format:
```
Cs5K2RbPd
1.0
10.224 -0.117 -0.170
-4.958 8.943 0.170
-4.958 -3.026 8.417
Rb Cs Pd K
1 5 1 2
Cartesian
-7.566 4.515 6.552
-2.367 1.413 2.050
-2.185 4.446 6.452
-4.950 6.096 2.122
2.509 1.345 1.952
-4.950 -0.188 6.452
-0.023 0.014 0.020
0.160 5.889 2.142
0.160 -0.096 6.265
```

Summary:
* total energy: -0.1015 Ry per atom
* V: 84.448 Å³ per atom
* calculated formation energy: 0.0221 eV per atom



# Cs2K2Rb2Pd

A relaxed structure of Cs2K2Rb2Pd (PBE, the Alexandria database).

The structure in POSCAR format:
```
Cs2K2Rb2Pd
1.0
5.002 0.000 -0.003
0.015 10.067 -0.837
2.500 3.523 10.081
Cs Rb Pd K
2 2 1 2
Cartesian
2.500 3.341 6.736
5.017 10.249 2.506
2.509 8.231 6.693
5.008 5.359 2.549
0.000 0.000 0.000
2.503 2.136 -0.091
5.014 11.454 9.333
```

Summary:
* total energy: -0.1124 Ry per atom
* V: 74.640 Å³ per atom
* calculated formation energy: 0.0468 eV per atom



# Cs6K2RbPd

A relaxed structure of Cs6K2RbPd (PBE, the Alexandria database).

The structure in POSCAR format:
```
Cs6K2RbPd
1.0
-1.124 4.561 9.988
-5.474 -8.928 3.483
10.013 -1.065 -4.486
Cs Pd K Rb
6 1 2 1
Cartesian
-4.522 -5.985 4.907
0.466 -4.016 8.008
4.850 -4.481 6.042
-2.072 1.605 8.569
2.930 -1.418 0.975
-1.431 -0.965 2.951
8.883 3.493 5.502
0.620 -6.097 2.868
2.797 0.654 6.124
6.689 -3.243 2.245
```

Summary:
* total energy: -0.0942 Ry per atom
* V: 94.903 Å³ per atom
* calculated formation energy: 0.0666 eV per atom



# CsK2SnPd

A relaxed structure of CsK2SnPd (PBE, the Alexandria database).

The structure in POSCAR format:
```
CsK2SnPd
1.0
-1.906 -4.148 4.392
-1.435 -4.163 -4.554
4.867 -1.962 0.260
Sn K Cs Pd
1 2 1 1
Cartesian
2.434 -0.981 0.130
-0.953 -2.074 2.196
-0.718 -2.081 -2.277
0.763 -5.136 0.049
0.000 0.000 0.000
```

Summary:
* total energy: -0.1893 Ry per atom
* V: 42.167 Å³ per atom
* calculated formation energy: -0.1266 eV per atom